1.
Material: SbOsRh2
Method: DFT, PBE
State: optimized geometry

a b c (Å): 4.7535 4.7535 4.9133
angles (deg): 101.81 101.81 35.74
Sites, in units of the cell vectors:
Sb  0.0000  0.0000  0.0000
Os  0.2555  0.2555  0.7030
Rh  0.5083  0.5083  0.5022
Rh  0.7478  0.7478  0.2348

Formation energy from raw total energies: 140 meV/atom
Uncorrected energy: -7.374 eV per atom

2.
Material: SbOs2Rh
Method: DFT, PBE
State: optimized geometry

a b c (Å): 3.9524 3.9524 4.0298
angles (deg): 90.00 90.00 90.00
Sites, in units of the cell vectors:
Sb  0.0000  0.0000  0.0000
Os  0.0000  0.5000  0.5000
Os  0.5000  0.0000  0.5000
Rh  0.5000  0.5000  0.0000

Formation energy from raw total energies: 440 meV/atom
Uncorrected energy: -8.043 eV per atom